LiZnIr3 after structural relaxation. Source: Alexandria via LeMat-Bulk, functional PBE-GGA.

Its formation energy is 0.85 eV/atom. The final energy comes out at -25.5 eV per cell. The calculation puts the density of states at the Fermi level at 4.4 states/eV per cell.

The structure belongs to space group Pm-3m (No. 221); the cell edges are 4.140, 4.140 and 4.140 Å and the angles 90.00°, 90.00° and 90.00°. The distinct sites, in fractional coordinates, are Li at (0.000, 0.000, 0.000), Zn at (0.500, 0.500, 0.500) and Ir at (0.000, 0.000, 0.500).

---

Sc5P3 after structural relaxation. Source: Alexandria via LeMat-Bulk, functional PBE-GGA.

Its formation energy is -1.20 eV/atom. The final energy comes out at -115.0 eV per cell. The energy relative to the lowest polymorph listed for this composition comes out at 2 meV per atom. The calculation puts the density of states at the Fermi level at 14.5 states/eV per cell.

The structure belongs to space group P6_3/mcm (No. 193); the cell edges are 7.7096, 7.7096 and 5.5891 Å and the angles 90.00°, 90.00° and 120.00°. The distinct sites, in fractional coordinates, are Sc at (0.0000, 0.2513, 0.2500), Sc at (0.3333, 0.6667, 0.0000) and P at (0.0000, 0.3858, 0.7500).